1.
SmPdPt: optimized geometry, PBE.

Properties
**Electronic total energy**: -6.21 eV per atom
**Distance to the lowest polymorph of the same formula**: 76 meV/atom
**Mass density**: 12.61 g/cm³
**Volume**: 119.0 Å³/cell

extended XYZ file:
```
6
Lattice="2.509 -4.095 0.000 2.509 4.095 0.000 0.000 0.000 5.791" Properties=species:S:1:pos:R:3 pbc="T T T"
Sm 2.509 2.767 4.343
Sm 2.509 -2.767 1.448
Pd 2.509 2.586 1.448
Pd 2.509 -2.586 4.343
Pt 2.509 0.000 0.000
Pt 2.509 0.000 2.896
```

=====

2.
Sm8PdPt5: optimized geometry, PBE.

Properties
**Electronic total energy**: -6.19 eV per atom
**Mass density**: 10.67 g/cm³
**Volume**: 355.6 Å³/cell

extended XYZ file:
```
14
Lattice="-4.465 4.465 4.460 4.465 -4.465 4.460 4.465 4.465 -4.460" Properties=species:S:1:pos:R:3 pbc="T T T"
Sm -0.541 7.257 1.670
Sm 3.906 1.696 0.598
Sm 2.769 -0.559 3.861
Sm 0.541 1.672 1.670
Sm 1.696 5.024 -0.598
Sm -2.793 3.924 2.790
Sm 2.793 5.006 2.790
Sm 0.559 2.769 5.058
Pd 0.000 4.465 2.230
Pt 1.127 2.229 -1.094
Pt 6.700 1.127 1.094
Pt 0.000 0.000 4.460
Pt 3.338 2.236 3.366
Pt -2.236 3.338 5.553
```

=====

3.
Sm3PdPt: optimized geometry, PBE.

Properties
**Electronic total energy**: -5.81 eV per atom
**Mass density**: 9.23 g/cm³
**Volume**: 270.8 Å³/cell

extended XYZ file:
```
10
Lattice="4.001 0.000 0.000 -0.020 7.587 0.000 -0.026 -3.025 8.922" Properties=species:S:1:pos:R:3 pbc="T T T"
Sm 0.000 0.000 0.000
Sm -0.010 3.689 0.828
Sm 1.971 1.523 2.982
Sm 1.959 4.221 5.895
Sm 3.935 6.119 3.400
Sm 3.959 1.185 6.394
Pd 1.957 -0.557 5.226
Pd 1.965 -0.817 8.143
Pt 1.962 2.411 8.333
Pt 3.966 3.269 4.028
```

=====

4.
Sm6PdPt5: optimized geometry, PBE.

Properties
**Electronic total energy**: -6.37 eV per atom
**Mass density**: 12.08 g/cm³
**Volume**: 272.6 Å³/cell

extended XYZ file:
```
12
Lattice="5.048 0.000 0.000 0.000 7.124 0.000 -2.464 0.000 7.581" Properties=species:S:1:pos:R:3 pbc="T T T"
Sm 0.000 1.755 0.000
Sm 0.000 5.369 0.000
Sm 0.038 1.781 5.038
Sm 0.038 5.343 5.038
Sm 2.546 1.781 2.543
Sm 2.546 5.343 2.543
Pd 2.524 3.562 0.000
Pt 0.026 3.562 2.428
Pt 0.026 0.000 2.579
Pt 2.524 0.000 0.000
Pt 2.558 0.000 5.002
Pt 2.558 3.562 5.152
```

=====

5.
SmPd4Pt: optimized geometry, PBE.

Properties
**Electronic total energy**: -5.80 eV per atom
**Distance to the lowest polymorph of the same formula**: 0 meV/atom
**Mass density**: 12.33 g/cm³
**Volume**: 103.9 Å³/cell

extended XYZ file:
```
6
Lattice="2.506 -4.421 0.000 2.506 4.421 0.000 -1.534 0.000 4.688" Properties=species:S:1:pos:R:3 pbc="T T T"
Sm 0.000 0.000 0.000
Pd 1.739 2.844 2.344
Pd 2.506 1.446 0.000
Pd 2.506 -1.446 0.000
Pd 1.739 -2.844 2.344
Pt 1.739 0.000 2.344
```

=====

6.
Sm6Pd5Pt: optimized geometry, PBE.

Properties
**Electronic total energy**: -5.87 eV per atom
**Distance to the lowest polymorph of the same formula**: 0 meV/atom
**Mass density**: 9.84 g/cm³
**Volume**: 274.9 Å³/cell

extended XYZ file:
```
12
Lattice="8.051 -3.519 0.000 8.051 3.519 0.000 -1.581 0.000 4.851" Properties=species:S:1:pos:R:3 pbc="T T T"
Sm 4.858 1.770 1.625
Sm 8.051 1.780 0.000
Sm 9.662 1.770 3.226
Sm 4.858 -1.770 1.625
Sm 8.051 -1.780 0.000
Sm 9.662 -1.770 3.226
Pd 2.471 0.000 0.820
Pd 4.052 0.000 4.049
Pd 7.260 0.000 2.426
Pd 10.468 0.000 0.802
Pd 12.048 0.000 4.031
Pt -0.791 0.000 2.426
```

=====

7.
SmPdPt: optimized geometry, PBE.

Properties
**Electronic total energy**: -6.03 eV per atom
**Distance to the lowest polymorph of the same formula**: 263 meV/atom
**Mass density**: 11.09 g/cm³
**Volume**: 67.7 Å³/cell

extended XYZ file:
```
3
Lattice="3.854 0.000 0.000 0.000 4.025 0.000 0.000 0.000 4.361" Properties=species:S:1:pos:R:3 pbc="T T T"
Sm 0.000 0.000 0.000
Pd 0.000 2.013 2.180
Pt 1.927 0.000 2.180
```

=====

8.
Sm2PdPt: optimized geometry, PBE.

Properties
**Electronic total energy**: -6.03 eV per atom
**Mass density**: 9.68 g/cm³
**Volume**: 103.3 Å³/cell

extended XYZ file:
```
4
Lattice="2.066 1.193 6.988 -2.066 1.193 6.988 0.000 -2.385 6.988" Properties=species:S:1:pos:R:3 pbc="T T T"
Sm 0.000 0.000 0.000
Sm 0.000 0.000 3.704
Pd 0.000 0.000 8.887
Pt 0.000 0.000 12.310
```

=====

9.
SmPd12Pt7: optimized geometry, PBE.

Properties
**Electronic total energy**: -4.96 eV per atom
**Mass density**: 11.00 g/cm³
**Volume**: 421.6 Å³/cell

extended XYZ file:
```
20
Lattice="-4.724 4.724 4.724 4.724 -4.724 4.724 4.724 4.724 -4.724" Properties=species:S:1:pos:R:3 pbc="T T T"
Sm 0.000 0.000 0.000
Pd 4.724 3.335 -2.147
Pd 2.577 0.000 1.389
Pd 6.871 0.000 1.389
Pd 1.389 2.577 0.000
Pd 3.335 -2.147 4.724
Pd 0.000 1.389 2.577
Pd 4.724 3.335 2.147
Pd 1.389 6.871 0.000
Pd 3.335 2.147 4.724
Pd -2.147 4.724 3.335
Pd 2.147 4.724 3.335
Pd 0.000 1.389 6.871
Pt 2.362 2.362 -2.362
Pt 2.362 -2.362 2.362
Pt 4.724 0.000 0.000
Pt -2.362 2.362 2.362
Pt 0.000 4.724 0.000
Pt 0.000 0.000 4.724
Pt 2.362 2.362 2.362
```

=====

10.
Sm2PdPt5: optimized geometry, PBE.

Properties
**Electronic total energy**: -6.52 eV per atom
**Mass density**: 15.84 g/cm³
**Volume**: 289.9 Å³/cell

extended XYZ file:
```
16
Lattice="5.892 0.000 0.000 0.000 11.792 0.000 0.000 0.000 4.172" Properties=species:S:1:pos:R:3 pbc="T T T"
Sm 1.443 1.465 0.000
Sm 1.503 7.362 0.000
Sm 4.389 4.431 0.000
Sm 4.449 10.327 0.000
Pd 0.000 0.000 2.086
Pd 2.946 5.896 2.086
Pt 0.000 5.896 2.086
Pt 0.045 8.845 2.086
Pt 1.431 4.408 0.000
Pt 1.515 10.304 0.000
Pt 2.901 2.949 2.086
Pt 2.946 0.000 2.086
Pt 2.991 8.844 2.086
Pt 4.377 1.488 0.000
Pt 4.461 7.385 0.000
Pt 5.847 2.948 2.086
```

=====

11.
SmPdPt: optimized geometry, PBE.

Properties
**Electronic total energy**: -6.15 eV per atom
**Distance to the lowest polymorph of the same formula**: 134 meV/atom
**Mass density**: 11.57 g/cm³
**Volume**: 64.9 Å³/cell

extended XYZ file:
```
3
Lattice="4.487 0.000 0.000 -2.243 3.886 0.000 0.000 0.000 3.720" Properties=species:S:1:pos:R:3 pbc="T T T"
Sm 0.000 0.000 0.000
Pd 0.000 2.591 1.860
Pt 2.243 1.295 1.860
```

=====

12.
Sm2Pd8Pt: optimized geometry, PBE.

Properties
**Electronic total energy**: -5.65 eV per atom
**Mass density**: 11.15 g/cm³
**Volume**: 200.6 Å³/cell

extended XYZ file:
```
11
Lattice="6.836 -2.732 0.000 6.836 2.732 0.000 -0.703 0.000 5.371" Properties=species:S:1:pos:R:3 pbc="T T T"
Sm 2.296 0.000 1.780
Sm 10.673 0.000 3.591
Pd 5.615 1.326 0.616
Pd 2.891 0.000 4.604
Pd 7.353 1.326 4.755
Pd 5.247 0.000 3.264
Pd 7.722 0.000 2.107
Pd 5.615 -1.326 0.616
Pd 10.078 0.000 0.767
Pd 7.353 -1.326 4.755
Pt -0.352 0.000 2.685
```